A plane-wave DFT calculation with GGA-PBEsol was carried out for a relaxed ZrTaCu2 crystal.

Results
- formation enthalpy at 0 K (meV per atom) = 261
- density (g/cm3) = 10.4
- E_tot (eV for the cell shown) = -29.3

a b c (Å): 4.860 4.860 5.022
angles (deg): 98.32 98.32 33.04
Fractional positions:
Zr  0.000  0.000  0.000
Ta  0.500  0.500  0.500
Cu  0.246  0.246  0.721
Cu  0.754  0.754  0.279